! SCAN Pd3Pb4, PBEsol geometry; values from VASP
&SYSTEM
  ibrav = 0, nat = 7, ntyp = 2
/
ATOMIC_SPECIES
Pd 106.42 Pd.upf
Pb 207.20 Pb.upf
ATOMIC_POSITIONS angstrom
Pd 0.0000 0.0000 0.0000
Pd 0.0000 0.0000 2.7306
Pd 0.0000 0.0000 25.8944
Pb 0.0000 0.0000 5.7318
Pb 0.0000 0.0000 10.8475
Pb 0.0000 0.0000 17.7775
Pb 0.0000 0.0000 22.8932
CELL_PARAMETERS angstrom
2.1963 1.2681 9.5417
-2.1963 1.2681 9.5417
0.0000 -2.5361 9.5417
! DOS(E_F): 2.76 states/eV/f.u.
! E: -57.560 eV/atom